# 1
A relaxed structure of AgOs3Br. Source: Alexandria, functional PBE.

## Properties
- polymorph energy (0 for the lowest one) (eV per atom) = 0.000
- mass density (g/cm³) = 13.30

Cell lengths 4.558, 4.558, 4.558 Å; angles 90.00, 90.00, 90.00 degrees
Positions (direct):
Ag 0.000 0.000 0.000
Os 0.000 0.500 0.500
Os 0.500 0.000 0.500
Os 0.500 0.500 0.000
Br 0.500 0.500 0.500

# 2
A relaxed structure of AgOsBr2. Source: Alexandria, functional PBE.

## Properties
- polymorph energy (0 for the lowest one) (eV per atom) = 0.639
- mass density (g/cm³) = 8.11

Cell lengths 6.997, 6.997, 6.997 Å; angles 148.39, 148.39, 45.30 degrees
Positions (direct):
Ag 0.000 0.000 0.000
Os 0.750 0.250 0.500
Br 0.250 0.750 0.500
Br 0.500 0.500 0.000

# 3
A relaxed structure of AgOs2Br. Source: Alexandria, functional PBE.

## Properties
- polymorph energy (0 for the lowest one) (eV per atom) = 0.724
- mass density (g/cm³) = 13.46

Cell lengths 2.994, 4.826, 4.872 Å; angles 90.00, 95.22, 90.00 degrees
Positions (direct):
Ag 0.000 0.000 0.000
Os 0.337 0.500 0.222
Os 0.663 0.500 0.778
Br 0.500 0.000 0.500

# 4
A relaxed structure of AgOsBr2. Source: Alexandria, functional PBE.

## Properties
- polymorph energy (0 for the lowest one) (eV per atom) = 0.483
- mass density (g/cm³) = 6.97

Cell lengths 7.278, 7.278, 7.278 Å; angles 130.46, 130.46, 72.67 degrees
Positions (direct):
Ag 0.000 0.000 0.000
Ag 0.750 0.250 0.500
Os 0.250 0.750 0.500
Os 0.500 0.500 0.000
Br 0.172 0.625 0.047
Br 0.375 0.422 0.547
Br 0.578 0.125 0.953
Br 0.875 0.828 0.453

# 5
A relaxed structure of AgOsBr2. Source: Alexandria, functional PBE.

## Properties
- polymorph energy (0 for the lowest one) (eV per atom) = 0.648
- mass density (g/cm³) = 9.01

Cell lengths 3.288, 3.288, 7.803 Å; angles 90.00, 90.00, 90.00 degrees
Positions (direct):
Ag 0.000 0.000 0.000
Os 0.000 0.000 0.500
Br 0.500 0.500 0.272
Br 0.500 0.500 0.728

# 6
A relaxed structure of AgOs2Br. Source: Alexandria, functional PBE.

## Properties
- polymorph energy (0 for the lowest one) (eV per atom) = 0.768
- mass density (g/cm³) = 13.95

Cell lengths 2.802, 4.846, 4.981 Å; angles 90.00, 90.00, 90.00 degrees
Positions (direct):
Ag 0.000 0.000 0.000
Os 0.000 0.500 0.500
Os 0.500 0.000 0.500
Br 0.500 0.500 0.000

# 7
A relaxed structure of AgOs2Br. Source: Alexandria, functional PBE.

## Properties
- polymorph energy (0 for the lowest one) (eV per atom) = 1.124
- mass density (g/cm³) = 14.64

Cell lengths 4.501, 4.501, 4.501 Å; angles 60.00, 60.00, 60.00 degrees
Positions (direct):
Ag 0.000 0.000 0.000
Os 0.250 0.250 0.250
Os 0.750 0.750 0.750
Br 0.500 0.500 0.500

# 8
A relaxed structure of AgOsBr2. Source: Alexandria, functional PBE.

## Properties
- polymorph energy (0 for the lowest one) (eV per atom) = 0.264
- mass density (g/cm³) = 8.72

Cell lengths 3.198, 3.198, 10.374 Å; angles 90.00, 90.00, 124.73 degrees
Positions (direct):
Ag 0.000 0.000 0.000
Os 0.500 0.500 0.224
Br 0.000 0.000 0.416
Br 0.500 0.500 0.771

# 9
A relaxed structure of AgOsBr2. Source: Alexandria, functional PBE.

## Properties
- polymorph energy (0 for the lowest one) (eV per atom) = 0.302
- mass density (g/cm³) = 8.22

Cell lengths 3.259, 3.259, 10.485 Å; angles 90.00, 90.00, 123.85 degrees
Positions (direct):
Ag 0.000 0.000 0.000
Os 0.000 0.000 0.500
Br 0.500 0.500 0.310
Br 0.500 0.500 0.690

# 10
A relaxed structure of AgOs2Br. Source: Alexandria, functional PBE.

## Properties
- polymorph energy (0 for the lowest one) (eV per atom) = 0.888
- mass density (g/cm³) = 9.98

Cell lengths 7.835, 7.835, 7.835 Å; angles 153.66, 153.66, 37.60 degrees
Positions (direct):
Ag 0.000 0.000 0.000
Os 0.250 0.750 0.500
Os 0.750 0.250 0.500
Br 0.500 0.500 0.000

# 11
A relaxed structure of AgOs2Br. Source: Alexandria, functional PBE.

## Properties
- polymorph energy (0 for the lowest one) (eV per atom) = 0.865
- mass density (g/cm³) = 14.14

Cell lengths 4.553, 4.553, 4.553 Å; angles 60.00, 60.00, 60.00 degrees
Positions (direct):
Ag 0.000 0.000 0.000
Os 0.250 0.250 0.250
Os 0.500 0.500 0.500
Br 0.750 0.750 0.750

# 12
A relaxed structure of AgOs2Br. Source: Alexandria, functional PBE.

## Properties
- polymorph energy (0 for the lowest one) (eV per atom) = 0.205
- mass density (g/cm³) = 11.70

Cell lengths 3.774, 3.774, 8.328 Å; angles 106.18, 106.18, 45.51 degrees
Positions (direct):
Ag 0.000 0.000 0.000
Os 0.574 0.574 0.424
Os 0.788 0.788 0.256
Br 0.223 0.223 0.700

# 13
A relaxed structure of AgOs2Br. Source: Alexandria, functional PBE.

## Properties
- polymorph energy (0 for the lowest one) (eV per atom) = 0.656
- mass density (g/cm³) = 13.58

Cell lengths 5.735, 5.735, 5.735 Å; angles 151.02, 129.99, 58.84 degrees
Positions (direct):
Ag 0.000 0.000 0.000
Os 0.524 0.524 0.000
Os 0.732 0.232 0.500
Br 0.291 0.791 0.500

# 14
A relaxed structure of Ag3OsBr9. Source: Alexandria, functional PBE.

## Properties
- mass density (g/cm³) = 4.50

Cell lengths 8.450, 8.450, 13.604 Å; angles 102.83, 102.83, 78.01 degrees
Positions (direct):
Ag 0.058 0.942 0.500
Ag 0.460 0.654 0.607
Ag 0.643 0.759 0.390
Ag 0.654 0.460 0.107
Ag 0.759 0.643 0.890
Ag 0.942 0.058 0.000
Os 0.052 0.425 0.482
Os 0.425 0.052 0.982
Br 0.003 0.172 0.354
Br 0.009 0.751 0.008
Br 0.099 0.678 0.614
Br 0.127 0.259 0.620
Br 0.172 0.003 0.854
Br 0.259 0.127 0.120
Br 0.340 0.372 0.459
Br 0.366 0.869 0.488
Br 0.372 0.340 0.959
Br 0.473 0.760 0.001
Br 0.481 0.575 0.245
Br 0.575 0.481 0.745
Br 0.602 0.973 0.847
Br 0.678 0.099 0.114
Br 0.751 0.009 0.508
Br 0.760 0.473 0.501
Br 0.869 0.366 0.988
Br 0.973 0.602 0.347

# 15
A relaxed structure of Ag3OsBr8. Source: Alexandria, functional PBE.

## Properties
- mass density (g/cm³) = 5.17

Cell lengths 6.953, 6.953, 8.323 Å; angles 90.00, 90.00, 113.11 degrees
Positions (direct):
Ag 0.000 0.000 0.000
Ag 0.000 0.500 0.763
Ag 0.500 0.000 0.237
Os 0.000 0.000 0.500
Br 0.216 0.784 0.500
Br 0.226 0.774 0.000
Br 0.228 0.235 0.710
Br 0.235 0.228 0.290
Br 0.765 0.772 0.290
Br 0.772 0.765 0.710
Br 0.774 0.226 0.000
Br 0.784 0.216 0.500

# 16
A relaxed structure of AgOsBr4. Source: Alexandria, functional PBE.

## Properties
- mass density (g/cm³) = 6.09

Cell lengths 6.199, 6.199, 6.199 Å; angles 60.00, 60.00, 60.00 degrees
Positions (direct):
Ag 0.000 0.000 0.000
Os 0.250 0.250 0.250
Br 0.126 0.625 0.625
Br 0.625 0.126 0.625
Br 0.625 0.625 0.126
Br 0.625 0.625 0.625

# 17
A relaxed structure of AgOs2Br. Source: Alexandria, functional PBE.

## Properties
- polymorph energy (0 for the lowest one) (eV per atom) = 0.000
- mass density (g/cm³) = 12.83

Cell lengths 2.943, 2.965, 8.426 Å; angles 90.00, 90.31, 90.00 degrees
Positions (direct):
Ag 0.000 0.000 0.000
Os 0.496 0.500 0.756
Os 0.993 0.000 0.576
Br 0.989 0.500 0.322

# 18
A relaxed structure of AgOs2Br. Source: Alexandria, functional PBE.

## Properties
- polymorph energy (0 for the lowest one) (eV per atom) = 0.728
- mass density (g/cm³) = 14.21

Cell lengths 2.830, 2.830, 9.660 Å; angles 90.00, 90.00, 120.89 degrees
Positions (direct):
Ag 0.000 0.000 0.000
Os 0.500 0.500 0.253
Os 0.500 0.500 0.747
Br 0.000 0.000 0.500

# 19
A relaxed structure of AgOsBr5. Source: Alexandria, functional PBE.

## Properties
- mass density (g/cm³) = 5.15

Cell lengths 7.296, 7.296, 9.733 Å; angles 109.17, 109.17, 95.49 degrees
Positions (direct):
Ag 0.137 0.863 0.750
Ag 0.863 0.137 0.250
Os 0.500 0.500 0.000
Os 0.500 0.500 0.500
Br 0.168 0.267 0.847
Br 0.212 0.659 0.502
Br 0.267 0.168 0.347
Br 0.341 0.788 0.998
Br 0.425 0.575 0.250
Br 0.575 0.425 0.750
Br 0.659 0.212 0.002
Br 0.733 0.832 0.653
Br 0.788 0.341 0.498
Br 0.832 0.733 0.153

# 20
A relaxed structure of AgOsBr2. Source: Alexandria, functional PBE.

## Properties
- polymorph energy (0 for the lowest one) (eV per atom) = 0.968
- mass density (g/cm³) = 8.91

Cell lengths 4.941, 4.941, 4.941 Å; angles 60.00, 60.00, 60.00 degrees
Positions (direct):
Ag 0.000 0.000 0.000
Os 0.250 0.250 0.250
Br 0.500 0.500 0.500
Br 0.750 0.750 0.750

no.,E (eV per atom),DOS(E_F) (states/eV/f.u.),formation energy from raw total energies (eV per atom)
1,-5.223,7.13,2.42
2,-3.259,3.61,1.10
3,-5.479,5.10,1.27
4,-3.415,5.27,0.94
5,-3.250,2.38,1.11
6,-5.435,5.43,1.31
7,-5.079,5.84,1.67
8,-3.634,3.86,0.72
9,-3.596,3.22,0.76
10,-5.315,4.12,1.43
11,-5.339,3.01,1.41
12,-5.998,2.51,0.75
13,-5.547,4.33,1.20
14,-2.876,5.02,-0.20
15,-2.979,7.77,-0.22
16,-1.876,10.12,1.59
17,-6.203,3.16,0.54
18,-5.475,4.32,1.27
19,-3.306,3.63,-0.10
20,-2.931,3.37,1.43